Arrangement w

Nd8DyY2: relaxed, PBE.

Unit cell a=6.020 b=9.204 c=9.532 alpha=61.13 beta=74.34 gamma=56.00
Element x y z (fractional)
Y 0.000 0.310 0.380
Nd 0.182 0.901 0.763
Dy 0.500 0.000 0.000
Nd 0.818 0.099 0.237
Nd 0.704 0.577 0.000
Nd 0.500 0.795 0.410
Nd 0.182 0.665 0.237
Nd 0.500 0.205 0.590
Nd 0.818 0.335 0.763
Y 0.000 0.690 0.620
Nd 0.296 0.423 0.000

## Properties
DOS(E_F): 14.909 states/eV per cell



Arrangement x

Nd8DyY2: relaxed, PBE.

Unit cell a=5.164 b=8.158 c=9.651 alpha=104.63 beta=105.52 gamma=90.00
Element x y z (fractional)
Nd 0.409 0.547 0.818
Nd 0.137 0.183 0.273
Nd 0.591 0.453 0.182
Dy 0.500 0.000 0.000
Y 0.773 0.365 0.546
Nd 0.318 0.090 0.637
Nd 0.046 0.729 0.092
Nd 0.863 0.817 0.727
Nd 0.954 0.271 0.908
Y 0.227 0.635 0.454
Nd 0.682 0.910 0.363

## Properties
DOS(E_F): 16.914 states/eV per cell



arrangement x is the most stable structure; the next one sits 122 meV per atom above it.



Arrangement w

NdDy5Y5: relaxed, PBE.

Unit cell a=6.107 b=6.107 c=11.507 alpha=90.00 beta=90.00 gamma=120.00
Element x y z (fractional)
Nd 0.333 0.667 0.000
Y 0.333 0.667 0.674
Dy 0.832 0.664 0.500
Y 0.667 0.333 0.839
Y 0.000 0.000 0.000
Dy 0.000 0.000 0.734
Dy 0.832 0.168 0.500
Y 0.333 0.667 0.326
Y 0.667 0.333 0.161
Dy 0.336 0.168 0.500
Dy 0.000 0.000 0.266

## Properties
DOS(E_F): 19.721 states/eV per cell



Arrangement x

NdDy5Y5: relaxed, PBE.

Unit cell a=6.089 b=6.089 c=11.668 alpha=90.00 beta=90.00 gamma=120.00
Element x y z (fractional)
Dy 0.667 0.333 0.844
Y 0.833 0.665 0.500
Dy 0.333 0.667 0.678
Y 0.833 0.167 0.500
Y 0.335 0.167 0.500
Nd 0.333 0.667 0.000
Y 0.000 0.000 0.738
Dy 0.333 0.667 0.322
Dy 0.667 0.333 0.156
Dy 0.000 0.000 0.000
Y 0.000 0.000 0.262

## Properties
DOS(E_F): 21.823 states/eV per cell



arrangement w is the most stable structure; the next one sits 48 meV per atom above it.



Arrangement w

NdDy2Y: relaxed, PBE.

Unit cell a=3.660 b=6.789 c=6.789 alpha=55.30 beta=74.38 gamma=74.38
Element x y z (fractional)
Y 0.750 0.666 0.834
Nd 0.250 0.168 0.332
Dy 0.001 0.082 0.916
Dy 0.499 0.584 0.418

## Properties
DOS(E_F): 7.049 states/eV per cell



Arrangement x

NdDy2Y: relaxed, PBE.

Unit cell a=5.071 b=5.069 c=5.069 alpha=90.00 beta=90.00 gamma=90.00
Element x y z (fractional)
Dy 0.000 0.000 0.500
Dy 0.000 0.500 0.000
Nd 0.500 0.500 0.500
Y 0.500 0.000 0.000

## Properties
DOS(E_F): 5.915 states/eV per cell



Arrangement y

NdDy2Y: relaxed, PBE.

Unit cell a=3.612 b=3.612 c=11.757 alpha=81.16 beta=81.16 gamma=60.00
Element x y z (fractional)
Y 0.500 0.500 0.499
Dy 0.249 0.249 0.254
Nd 0.666 0.666 0.001
Dy 0.084 0.084 0.747

## Properties
DOS(E_F): 6.409 states/eV per cell



Arrangement z

NdDy2Y: relaxed, PBE.

Unit cell a=5.717 b=5.717 c=5.717 alpha=60.00 beta=60.00 gamma=60.00
Element x y z (fractional)
Dy 0.250 0.250 0.250
Dy 0.750 0.750 0.750
Y 0.500 0.500 0.500
Nd 0.000 0.000 0.000

## Properties
DOS(E_F): 9.183 states/eV per cell



arrangement y is the most stable structure; the next one sits 9 meV per atom above it.



Arrangement w

NdDy2Y: relaxed, PBE.

Unit cell a=3.586 b=3.586 c=10.142 alpha=90.00 beta=90.00 gamma=90.00
Element x y z (fractional)
Dy 0.000 0.000 0.747
Nd 0.500 0.500 0.000
Y 0.500 0.500 0.500
Dy 0.000 0.000 0.253

## Properties
DOS(E_F): 5.437 states/eV per cell



Arrangement x

NdDy2Y: relaxed, PBE.

Unit cell a=7.315 b=6.319 c=13.070 alpha=118.94 beta=90.00 gamma=90.00
Element x y z (fractional)
Nd 0.752 0.544 0.377
Dy 0.999 0.960 0.625
Dy 0.249 0.542 0.374
Y 0.500 0.457 0.125
Dy 0.249 0.958 0.126
Y 0.500 0.543 0.875
Dy 0.001 0.040 0.375
Y 0.500 0.043 0.375
Nd 0.752 0.956 0.123
Dy 0.751 0.458 0.626
Y 0.500 0.957 0.625
Dy 0.001 0.460 0.125
Nd 0.248 0.044 0.877
Dy 0.999 0.540 0.875
Dy 0.751 0.042 0.874
Nd 0.248 0.456 0.623

## Properties
DOS(E_F): 29.220 states/eV per cell



arrangement x is the most stable structure; the next one sits 8 meV per atom above it.



Arrangement w

NdDy4Y: relaxed, PBE.

Unit cell a=6.601 b=6.601 c=6.601 alpha=60.00 beta=60.00 gamma=60.00
Element x y z (fractional)
Dy 0.625 0.625 0.625
Nd 0.250 0.250 0.250
Dy 0.124 0.625 0.625
Dy 0.625 0.124 0.625
Dy 0.625 0.625 0.124
Y 0.000 0.000 0.000

## Properties
DOS(E_F): 11.469 states/eV per cell



Arrangement x

NdDy4Y: relaxed, PBE.

Unit cell a=6.557 b=8.506 c=8.703 alpha=111.23 beta=102.27 gamma=109.64
Element x y z (fractional)
Dy 0.756 0.709 0.591
Nd 0.264 0.014 0.028
Dy 0.336 0.883 0.591
Dy 0.928 0.822 0.247
Y 0.667 0.417 0.833
Y 0.333 0.583 0.167
Dy 0.072 0.178 0.753
Dy 0.819 0.425 0.247
Nd 0.736 0.986 0.972
Dy 0.181 0.575 0.753
Dy 0.664 0.117 0.409
Dy 0.244 0.291 0.409

## Properties
DOS(E_F): 19.551 states/eV per cell



arrangement x is the most stable structure; the next one sits 109 meV per atom above it.



Arrangement w

Nd5DyY: relaxed, PBE.

Unit cell a=5.939 b=8.092 c=8.092 alpha=66.22 beta=68.49 gamma=68.49
Element x y z (fractional)
Y 0.500 0.500 0.500
Nd 0.000 0.677 0.323
Dy 0.000 0.000 0.000
Nd 0.500 0.000 0.000
Nd 0.752 0.248 0.248
Nd 0.248 0.752 0.752
Nd 0.000 0.323 0.677

## Properties
DOS(E_F): 13.163 states/eV per cell



Arrangement x

Nd5DyY: relaxed, PBE.

Unit cell a=8.967 b=8.967 c=13.455 alpha=45.43 beta=45.43 gamma=43.81
Element x y z (fractional)
Nd 0.330 0.335 0.088
Nd 0.761 0.239 0.750
Nd 0.254 0.253 0.904
Nd 0.670 0.665 0.912
Dy 0.000 0.000 0.500
Nd 0.335 0.330 0.588
Nd 0.746 0.747 0.096
Nd 0.747 0.746 0.596
Dy 0.000 0.000 0.000
Y 0.763 0.237 0.250
Nd 0.253 0.254 0.404
Nd 0.665 0.670 0.412
Y 0.237 0.763 0.750
Nd 0.239 0.761 0.250

## Properties
DOS(E_F): 20.281 states/eV per cell



arrangement x is the most stable structure; the next one sits 836 meV per atom above it.



Arrangement w

Nd3Dy4Y5: relaxed, PBE.

Unit cell a=5.947 b=8.596 c=9.707 alpha=106.07 beta=72.16 gamma=69.76
Element x y z (fractional)
Dy 0.140 0.778 0.942
Y 0.500 0.500 0.500
Y 0.216 0.456 0.111
Y 0.784 0.544 0.889
Y 0.625 0.949 0.801
Dy 0.860 0.222 0.058
Nd 0.000 0.500 0.500
Y 0.375 0.051 0.199
Dy 0.833 0.957 0.377
Nd 0.479 0.313 0.729
Nd 0.521 0.687 0.271
Dy 0.167 0.043 0.623

## Properties
DOS(E_F): 19.258 states/eV per cell



Arrangement x

Nd3Dy4Y5: relaxed, PBE.

Unit cell a=7.178 b=15.612 c=17.894 alpha=160.12 beta=45.67 gamma=143.33
Element x y z (fractional)
Dy 0.165 0.333 0.167
Dy 0.917 0.833 0.666
Y 0.748 0.501 0.001
Nd 0.414 0.831 0.666
Y 0.500 0.000 0.500
Dy 0.835 0.667 0.833
Y 0.666 0.333 0.167
Nd 0.000 0.000 0.500
Y 0.252 0.499 0.999
Nd 0.586 0.169 0.334
Y 0.334 0.667 0.833
Dy 0.083 0.167 0.334

## Properties
DOS(E_F): 17.020 states/eV per cell



arrangement x is the most stable structure; the next one sits 213 meV per atom above it.



Arrangement w

Nd3Dy8Y2: relaxed, PBE.

Unit cell a=5.662 b=7.720 c=10.803 alpha=110.94 beta=90.02 gamma=90.00
Element x y z (fractional)
Dy 0.500 0.817 0.217
Nd 0.000 0.708 0.000
Nd 0.000 0.292 0.000
Dy 0.000 0.865 0.730
Y 0.499 0.241 0.483
Nd 0.500 0.000 0.000
Dy 0.001 0.670 0.341
Dy 0.500 0.183 0.783
Dy 0.999 0.330 0.659
Dy 0.500 0.600 0.783
Dy 0.000 0.135 0.270
Dy 0.500 0.400 0.217
Y 0.501 0.759 0.517

## Properties
DOS(E_F): 22.454 states/eV per cell



Arrangement x

Nd3Dy8Y2: relaxed, PBE.

Unit cell a=6.198 b=8.005 c=9.471 alpha=65.02 beta=90.09 gamma=97.49
Element x y z (fractional)
Nd 0.461 0.768 0.154
Dy 0.153 0.923 0.386
Dy 0.923 0.536 0.309
Dy 0.847 0.077 0.614
Dy 0.770 0.615 0.923
Nd 0.000 0.000 0.000
Dy 0.308 0.845 0.767
Dy 0.692 0.155 0.233
Dy 0.077 0.464 0.691
Dy 0.230 0.385 0.077
Y 0.384 0.306 0.461
Nd 0.539 0.232 0.846
Y 0.616 0.694 0.539

## Properties
DOS(E_F): 18.352 states/eV per cell



arrangement x is the most stable structure; the next one sits 226 meV per atom above it.



Arrangement w

NdDyY4: relaxed, PBE.

Unit cell a=4.556 b=4.557 c=11.121 alpha=90.00 beta=90.00 gamma=90.00
Element x y z (fractional)
Dy 0.497 0.501 0.002
Nd 0.997 0.001 0.502
Y 0.497 0.001 0.248
Y 0.997 0.501 0.755
Y 0.497 0.001 0.755
Y 0.997 0.501 0.248

## Properties
DOS(E_F): 13.077 states/eV per cell



Arrangement x

NdDyY4: relaxed, PBE.

Unit cell a=9.864 b=5.688 c=8.972 alpha=129.32 beta=90.00 gamma=90.00
Element x y z (fractional)
Y 0.167 0.247 0.747
Nd 0.000 0.000 0.000
Y 0.333 0.747 0.747
Nd 0.500 0.500 0.000
Y 0.166 0.753 0.253
Y 0.334 0.253 0.253
Dy 0.500 0.000 0.500
Y 0.833 0.753 0.253
Y 0.666 0.747 0.747
Y 0.667 0.253 0.253
Y 0.834 0.247 0.747
Dy 0.000 0.500 0.500

## Properties
DOS(E_F): 19.498 states/eV per cell



arrangement x is the most stable structure; the next one sits 598 meV per atom above it.



Arrangement w

NdDy6Y12: relaxed, PBE.

Unit cell a=8.741 b=9.436 c=9.436 alpha=69.09 beta=72.01 gamma=107.99
Element x y z (fractional)
Y 0.211 0.735 0.107
Y 0.737 0.578 0.370
Y 0.789 0.265 0.893
Y 0.263 0.422 0.630
Dy 0.422 0.473 0.210
Dy 0.052 0.684 0.527
Dy 0.632 0.210 0.316
Y 0.107 0.370 0.053
Y 0.317 0.107 0.158
Y 0.475 0.158 0.735
Dy 0.948 0.316 0.473
Dy 0.368 0.790 0.684
Y 0.525 0.842 0.265
Nd 0.000 0.000 0.000
Y 0.683 0.893 0.842
Y 0.893 0.630 0.947
Y 0.841 0.947 0.422
Y 0.159 0.053 0.578
Dy 0.578 0.527 0.790

## Properties
DOS(E_F): 27.727 states/eV per cell



Arrangement x

NdDy6Y12: relaxed, PBE.

Unit cell a=8.564 b=8.564 c=8.564 alpha=88.10 beta=88.10 gamma=88.10
Element x y z (fractional)
Y 0.456 0.564 0.225
Y 0.206 0.357 0.009
Dy 0.256 0.092 0.690
Nd 0.000 0.000 0.000
Y 0.991 0.794 0.643
Dy 0.310 0.744 0.908
Dy 0.744 0.908 0.310
Y 0.564 0.225 0.456
Y 0.225 0.456 0.564
Y 0.794 0.643 0.991
Dy 0.908 0.310 0.744
Y 0.009 0.206 0.357
Y 0.775 0.544 0.436
Dy 0.092 0.690 0.256
Dy 0.690 0.256 0.092
Y 0.436 0.775 0.544
Y 0.643 0.991 0.794
Y 0.544 0.436 0.775
Y 0.357 0.009 0.206

## Properties
DOS(E_F): 32.903 states/eV per cell



arrangement w is the most stable structure; the next one sits 129 meV per atom above it.